1.
Entry from the Open Quantum Materials Database: a relaxed HfTaHg crystal (PBE).

CIF file:
```
data_HfTaHg
_cell_length_a 4.702
_cell_length_b 4.702
_cell_length_c 4.702
_cell_angle_alpha 60.00
_cell_angle_beta 60.00
_cell_angle_gamma 60.00
_symmetry_space_group_name_H-M 'P 1'
_symmetry_Int_Tables_number 1
_symmetry_space_group_name_Hall 'P 1'
loop_
_atom_site_label
_atom_site_type_symbol
_atom_site_fract_x
_atom_site_fract_y
_atom_site_fract_z
Hf1 Hf 0.000 0.000 0.000
Ta1 Ta 0.250 0.250 0.250
Hg1 Hg 0.500 0.500 0.500
```

Output
M_tot   2.52 μB per formula unit
Energy of formation from the pure elements   1.039 eV/atom


2.
Entry from the Open Quantum Materials Database: a relaxed HfTa2Hg crystal (PBE).

CIF file:
```
data_HfTa2Hg
_cell_length_a 4.780
_cell_length_b 4.780
_cell_length_c 4.780
_cell_angle_alpha 60.00
_cell_angle_beta 60.00
_cell_angle_gamma 60.00
_symmetry_space_group_name_H-M 'P 1'
_symmetry_Int_Tables_number 1
_symmetry_space_group_name_Hall 'P 1'
loop_
_atom_site_label
_atom_site_type_symbol
_atom_site_fract_x
_atom_site_fract_y
_atom_site_fract_z
Hf1 Hf 0.000 0.000 0.000
Ta1 Ta 0.250 0.250 0.250
Ta2 Ta 0.500 0.500 0.500
Hg1 Hg 0.750 0.750 0.750
```

Output
M_tot   0.00 μB per formula unit
Energy of formation from the pure elements   0.230 eV/atom


3.
Entry from the Open Quantum Materials Database: a relaxed Hf2Ta2Hg crystal (PBE).

CIF file:
```
data_Hf2Ta2Hg
_cell_length_a 7.205
_cell_length_b 7.205
_cell_length_c 7.205
_cell_angle_alpha 147.92
_cell_angle_beta 147.92
_cell_angle_gamma 46.00
_symmetry_space_group_name_H-M 'P 1'
_symmetry_Int_Tables_number 1
_symmetry_space_group_name_Hall 'P 1'
loop_
_atom_site_label
_atom_site_type_symbol
_atom_site_fract_x
_atom_site_fract_y
_atom_site_fract_z
Hf1 Hf 0.097 0.097 0.000
Hf2 Hf 0.903 0.903 0.000
Ta1 Ta 0.250 0.750 0.500
Ta2 Ta 0.750 0.250 0.500
Hg1 Hg 0.500 0.500 0.000
```

Output
M_tot   0.00 μB per formula unit
Energy of formation from the pure elements   0.661 eV/atom


So what do the calculations give for raw total energy? Going down the list: -6.329 -8.259 -8.122 eV/atom.